A plane-wave DFT calculation with GGA-PBE was carried out for an optimized crystal structure of Pm5Nd2YIn.

Cell lengths 5.5356, 10.4317, 10.9177 Å; angles 90.00, 90.00, 105.39 degrees
Element x y z (fractional)
Nd 0.1163 0.2326 0.3038
Nd 0.8834 0.7669 0.2124
Nd 0.1166 0.2331 0.7124
Nd 0.8837 0.7674 0.8038
Pm 0.0139 0.0279 0.0081
Pm 0.5001 0.0003 0.7582
Pm 0.6173 0.2347 0.5081
Pm 0.2905 0.5811 0.3080
Pm 0.7095 0.4189 0.8080
Pm 0.7093 0.4186 0.2088
Pm 0.4999 0.9997 0.2582
Pm 0.2907 0.5814 0.7088
Pm 0.3827 0.7653 0.0081
Pm 0.9861 0.9721 0.5081
Y 0.2015 0.4029 0.0084
Y 0.7985 0.5971 0.5084
In 0.5946 0.1891 0.0083
In 0.4054 0.8109 0.5083

## Properties
VASP energy = -85.32 eV per cell
Energy relative to the elements = -0.019 eV per atom
Symmetry = Cmcm
DOS at the Fermi energy = 25.95 states/eV/cell



A plane-wave DFT calculation with GGA-PBE was carried out for an optimized crystal structure of Pm6Nd2Y3In.

Cell lengths 6.2214, 6.2214, 11.9124 Å; angles 95.00, 95.00, 120.09 degrees
Element x y z (fractional)
Nd 0.6664 0.3336 0.0000
Nd 0.3336 0.6664 0.0000
In 0.0000 0.0000 0.0000
Pm 0.2424 0.2424 0.7496
Pm 0.7575 0.7575 0.2504
Pm 0.0829 0.4087 0.2496
Pm 0.9171 0.5913 0.7504
Pm 0.4087 0.0829 0.2496
Pm 0.5913 0.9171 0.7504
Y 0.5000 0.5000 0.5000
Y 0.8331 0.1669 0.5000
Y 0.1669 0.8331 0.5000

## Properties
VASP energy = -60.79 eV per cell
Energy relative to the elements = -0.052 eV per atom
Symmetry = C2/m
DOS at the Fermi energy = 14.45 states/eV/cell



A plane-wave DFT calculation with GGA-PBE was carried out for an optimized crystal structure of PmNdYIn.

Cell lengths 5.5673, 5.5673, 5.5673 Å; angles 60.00, 60.00, 60.00 degrees
Element x y z (fractional)
Nd 0.0000 0.0000 0.0000
In 0.7500 0.7500 0.7500
Y 0.2500 0.2500 0.2500
Pm 0.5000 0.5000 0.5000

## Properties
VASP energy = -19.28 eV per cell
Energy relative to the elements = -0.141 eV per atom
Energy above the lowest structure with this stoichiometry = 0.0 kJ per mole of atoms
Symmetry = F-43m
DOS at the Fermi energy = 6.46 states/eV/cell



Copy entry 2 word for word.
A plane-wave DFT calculation with GGA-PBE was carried out for an optimized crystal structure of Pm6Nd2Y3In.

Cell lengths 6.2214, 6.2214, 11.9124 Å; angles 95.00, 95.00, 120.09 degrees
Element x y z (fractional)
Nd 0.6664 0.3336 0.0000
Nd 0.3336 0.6664 0.0000
In 0.0000 0.0000 0.0000
Pm 0.2424 0.2424 0.7496
Pm 0.7575 0.7575 0.2504
Pm 0.0829 0.4087 0.2496
Pm 0.9171 0.5913 0.7504
Pm 0.4087 0.0829 0.2496
Pm 0.5913 0.9171 0.7504
Y 0.5000 0.5000 0.5000
Y 0.8331 0.1669 0.5000
Y 0.1669 0.8331 0.5000

## Properties
VASP energy = -60.79 eV per cell
Energy relative to the elements = -0.052 eV per atom
Symmetry = C2/m
DOS at the Fermi energy = 14.45 states/eV/cell



Among the records above, which one has the highest VASP energy? PmNdYIn



Repeat the second record exactly.
A plane-wave DFT calculation with GGA-PBE was carried out for an optimized crystal structure of Pm6Nd2Y3In.

Cell lengths 6.2214, 6.2214, 11.9124 Å; angles 95.00, 95.00, 120.09 degrees
Element x y z (fractional)
Nd 0.6664 0.3336 0.0000
Nd 0.3336 0.6664 0.0000
In 0.0000 0.0000 0.0000
Pm 0.2424 0.2424 0.7496
Pm 0.7575 0.7575 0.2504
Pm 0.0829 0.4087 0.2496
Pm 0.9171 0.5913 0.7504
Pm 0.4087 0.0829 0.2496
Pm 0.5913 0.9171 0.7504
Y 0.5000 0.5000 0.5000
Y 0.8331 0.1669 0.5000
Y 0.1669 0.8331 0.5000

## Properties
VASP energy = -60.79 eV per cell
Energy relative to the elements = -0.052 eV per atom
Symmetry = C2/m
DOS at the Fermi energy = 14.45 states/eV/cell